MgGa2Ru: optimized geometry, PBE.

DOS(E_F)	0.6289	states/eV/atom
space-group type	No. 122
VASP energy	-4.076	eV/atom

Cell: 9.565 9.565 9.565 Å, 156.24 156.24 33.85°
Fractional positions:
Mg (0.000, 0.000, 0.000)
Mg (0.750, 0.250, 0.500)
Ga (0.161, 0.625, 0.036)
Ga (0.375, 0.411, 0.536)
Ga (0.589, 0.125, 0.964)
Ga (0.875, 0.839, 0.464)
Ru (0.250, 0.750, 0.500)
Ru (0.500, 0.500, 0.000)


Mg2Ga3Ru: optimized geometry, PBE.

DOS(E_F)	0.3731	states/eV/atom
space-group type	No. 12
VASP energy	-3.888	eV/atom

Cell: 5.163 5.163 5.176 Å, 118.22 118.22 61.71°
Fractional positions:
Mg (0.130, 0.130, 0.370)
Mg (0.870, 0.870, 0.630)
Ga (0.000, 0.500, 0.000)
Ga (0.500, 0.000, 0.000)
Ga (0.500, 0.500, 0.500)
Ru (0.500, 0.500, 0.000)